Entry 1:
Material: KErSn2F8
Method: DFT, PBE-GGA
State: relaxed

abc: 5.961 4.033 8.143
angles: 90.00 90.07 90.00
Fractional positions:
K1 0.000 0.000 0.000
Er1 0.000 0.000 0.500
Sn1 0.500 0.500 0.241
Sn2 0.500 0.500 0.759
F1 0.204 0.500 0.501
F2 0.239 0.000 0.285
F3 0.240 0.000 0.716
F4 0.284 0.500 0.999
F5 0.716 0.500 0.001
F6 0.760 0.000 0.284
F7 0.761 0.000 0.715
F8 0.796 0.500 0.499

Values from the calculation:
* theoretical density: 5054 kg/m³
* space-group type: No. 10
* spin magnetization: 0.00 Bohr magnetons per cell
* formation energy from raw total energies: -68.5 kcal/mol of atoms

---

Entry 2:
Material: KErSnF6
Method: DFT, PBE-GGA
State: relaxed

abc: 6.501 6.501 3.571
angles: 90.00 90.00 120.00
Fractional positions:
K1 0.000 0.000 0.000
Er1 0.667 0.333 0.539
Sn1 0.333 0.667 0.153
F1 0.045 0.366 0.528
F2 0.320 0.955 0.528
F3 0.434 0.326 0.040
F4 0.634 0.680 0.528
F5 0.674 0.107 0.040
F6 0.893 0.566 0.040

Values from the calculation:
* theoretical density: 5575 kg/m³
* space-group type: No. 143
* spin magnetization: 0.00 Bohr magnetons per cell
* formation energy from raw total energies: -74.1 kcal/mol of atoms

---

Entry 3:
Material: KErTlF6
Method: DFT, PBE-GGA
State: relaxed

abc: 6.284 6.284 10.385
angles: 90.00 90.00 120.00
Fractional positions:
K1 0.000 0.000 0.000
K2 0.000 0.000 0.500
Er1 0.333 0.667 0.250
Er2 0.667 0.333 0.750
Tl1 0.333 0.667 0.750
Tl2 0.667 0.333 0.250
F1 0.031 0.382 0.139
F2 0.031 0.648 0.361
F3 0.352 0.382 0.361
F4 0.352 0.969 0.139
F5 0.382 0.031 0.639
F6 0.382 0.352 0.861
F7 0.618 0.648 0.139
F8 0.618 0.969 0.361
F9 0.648 0.031 0.861
F10 0.648 0.618 0.639
F11 0.969 0.352 0.639
F12 0.969 0.618 0.861

Values from the calculation:
* theoretical density: 4907 kg/m³
* space-group type: No. 163
* spin magnetization: 1.61 Bohr magnetons per cell
* formation energy from raw total energies: -69.1 kcal/mol of atoms

---

Q: Which of these has the lowest theoretical density?
A: KErTlF6

---

Q: Which formula does entry 3 have?
A: KErTlF6